A plane-wave DFT calculation with PBE was carried out for a relaxed structure of ReMoOs2.

Lattice parameters (Å, degrees): 2.755 2.755 7.869 90.00 90.00 90.00
Element x y z (fractional)
1 Re 0.000 0.000 0.489
2 Mo 0.500 0.500 0.756
3 Os 0.000 0.000 0.004
4 Os 0.500 0.500 0.251

uncorrected energy	-45.28	eV/cell
offset from the most stable computed form	69.7	meV/atom